This record from the Alexandria database describes a PBEsol-optimized structure of Tl2CrPb. The functional is SCAN.

```
data_Tl2CrPb
_chemical_formula_sum 'Tl6 Cr3 Pb3'
_symmetry_space_group_name_H-M 'R -3 m'
_symmetry_Int_Tables_number 166
_symmetry_space_group_name_Hall '-R 3 2"'
_cell_length_a 3.3908
_cell_length_b 3.3908
_cell_length_c 29.6717
_cell_angle_alpha 90.00
_cell_angle_beta 90.00
_cell_angle_gamma 120.00
loop_
_atom_site_label
_atom_site_type_symbol
_atom_site_fract_x
_atom_site_fract_y
_atom_site_fract_z
Tl1 Tl 0.0000 0.0000 0.2399
Cr1 Cr 0.0000 0.0000 0.5000
Pb1 Pb 0.0000 0.0000 0.0000
```

Properties
The calculation puts the uncorrected energy at -4.3695 Ry/atom. The formation energy is 271 meV per atom. For the magnetization, the calculation gives 13.43 Bohr magnetons per cell. Its theoretical density is 11.3 g/cm³.

This record from the Alexandria database describes a PBEsol-optimized structure of YGa2Hg2. The functional is SCAN.

```
data_YGa2Hg2
_chemical_formula_sum 'Y2 Ga4 Hg4'
_symmetry_space_group_name_H-M 'I 4/m m m'
_symmetry_Int_Tables_number 139
_symmetry_space_group_name_Hall '-I 4 2'
_cell_length_a 4.3266
_cell_length_b 4.3266
_cell_length_c 11.0644
_cell_angle_alpha 90.00
_cell_angle_beta 90.00
_cell_angle_gamma 90.00
loop_
_atom_site_label
_atom_site_type_symbol
_atom_site_fract_x
_atom_site_fract_y
_atom_site_fract_z
Y1 Y 0.0000 0.0000 0.0000
Ga1 Ga 0.0000 0.0000 0.3937
Hg1 Hg 0.0000 0.5000 0.2500
```

Properties
The calculation puts the uncorrected energy at -2.9239 Ry/atom. The formation energy is -408 meV per atom. For the magnetization, the calculation gives 0.00 Bohr magnetons per cell. Its theoretical density is 10.1 g/cm³.

This record from the Alexandria database describes a PBEsol-optimized structure of In2SbAu. The functional is SCAN.

```
data_In2SbAu
_chemical_formula_sum 'In6 Sb3 Au3'
_symmetry_space_group_name_H-M 'R 3 m'
_symmetry_Int_Tables_number 160
_symmetry_space_group_name_Hall 'R 3 -2"'
_cell_length_a 4.2998
_cell_length_b 4.2998
_cell_length_c 18.7471
_cell_angle_alpha 90.00
_cell_angle_beta 90.00
_cell_angle_gamma 120.00
loop_
_atom_site_label
_atom_site_type_symbol
_atom_site_fract_x
_atom_site_fract_y
_atom_site_fract_z
In1 In 0.0000 0.0000 0.0000
In2 In 0.0000 0.0000 0.2345
Sb1 Sb 0.0000 0.0000 0.4676
Au1 Au 0.0000 0.0000 0.7356
```

Properties
The calculation puts the uncorrected energy at -3.1917 Ry/atom. For the magnetization, the calculation gives 0.00 Bohr magnetons per cell. Its theoretical density is 9.1 g/cm³. The energy relative to the elements, uncorrected is -0.127 eV per atom.

This record from the Alexandria database describes a PBEsol-optimized structure of Cr2MoP. The functional is SCAN.

```
data_Cr2MoP
_chemical_formula_sum 'Cr4 Mo2 P2'
_symmetry_space_group_name_H-M 'C m m 2'
_symmetry_Int_Tables_number 35
_cell_length_a 3.1443
_cell_length_b 4.3426
_cell_length_c 7.3050
_cell_angle_alpha 90.00
_cell_angle_beta 90.00
_cell_angle_gamma 90.00
loop_
_symmetry_equiv_pos_as_xyz
'x,y,z'
'-x,-y,z'
'-x,y,z'
'x,-y,z'
'x+1/2,y+1/2,z'
'-x+1/2,-y+1/2,z'
'-x+1/2,y+1/2,z'
'x+1/2,-y+1/2,z'
loop_
_atom_site_label
_atom_site_type_symbol
_atom_site_fract_x
_atom_site_fract_y
_atom_site_fract_z
Cr1 Cr 0.0000 0.0000 0.0000
Cr2 Cr 0.0000 0.5000 0.2437
Mo1 Mo 0.0000 0.0000 0.5182
P1 P 0.0000 0.5000 0.7775
```

Properties
The calculation puts the uncorrected energy at -1.4958 Ry/atom. The formation energy is 162 meV per atom. For the magnetization, the calculation gives 0.00 Bohr magnetons per cell. Its theoretical density is 7.7 g/cm³.

This record from the Alexandria database describes a PBEsol-optimized structure of Li5V2Ni3O10. The functional is SCAN.

```
data_Li5V2Ni3O10
_chemical_formula_sum 'Li5 V2 Ni3 O10'
_symmetry_space_group_name_H-M 'P -1'
_symmetry_Int_Tables_number 2
_cell_length_a 4.9786
_cell_length_b 5.1459
_cell_length_c 7.4207
_cell_angle_alpha 107.83
_cell_angle_beta 102.06
_cell_angle_gamma 101.88
loop_
_symmetry_equiv_pos_as_xyz
'x,y,z'
'-x,-y,-z'
loop_
_atom_site_label
_atom_site_type_symbol
_atom_site_fract_x
_atom_site_fract_y
_atom_site_fract_z
Li1 Li 0.0000 0.0000 0.0000
Li2 Li 0.0936 0.1955 0.6999
Li3 Li 0.2920 0.5990 0.1094
V1 V 0.3954 0.7939 0.8145
Ni1 Ni 0.1962 0.3892 0.3978
Ni2 Ni 0.5000 0.0000 0.5000
O1 O 0.0680 0.6246 0.8490
O2 O 0.1764 0.7957 0.5518
O3 O 0.2814 0.0117 0.2637
O4 O 0.3593 0.1823 0.9512
O5 O 0.4459 0.4506 0.6647
```

Properties
The calculation puts the uncorrected energy at -0.7336 Ry/atom. For the magnetization, the calculation gives 4.97 Bohr magnetons per cell. Its theoretical density is 4.6 g/cm³. The energy relative to the elements, uncorrected is -2.094 eV per atom.

This record from the Alexandria database describes a PBEsol-optimized structure of MnBeSb2. The functional is SCAN.

```
data_MnBeSb2
_chemical_formula_sum 'Mn2 Be2 Sb4'
_symmetry_space_group_name_H-M 'C 1 2/m 1'
_symmetry_Int_Tables_number 12
_cell_length_a 7.1935
_cell_length_b 6.9962
_cell_length_c 3.0273
_cell_angle_alpha 90.00
_cell_angle_beta 102.59
_cell_angle_gamma 90.00
loop_
_symmetry_equiv_pos_as_xyz
'x,y,z'
'-x,-y,-z'
'-x,y,-z'
'x,-y,z'
'x+1/2,y+1/2,z'
'-x+1/2,-y+1/2,-z'
'-x+1/2,y+1/2,-z'
'x+1/2,-y+1/2,z'
loop_
_atom_site_label
_atom_site_type_symbol
_atom_site_fract_x
_atom_site_fract_y
_atom_site_fract_z
Mn1 Mn 0.0000 0.0000 0.0000
Be1 Be 0.0000 0.5000 0.0000
Sb1 Sb 0.2500 0.2500 0.5000
```

Properties
The calculation puts the uncorrected energy at -1.7575 Ry/atom. For the magnetization, the calculation gives 7.70 Bohr magnetons per cell. Its theoretical density is 6.9 g/cm³. The energy relative to the elements, uncorrected is 0.371 eV per atom.

- theoretical density of number 5 (Li5V2Ni3O10)?
  4.6 g/cm³